Computed, not measured: a relaxed PrErGaIr crystal at the PBE level of DFT.

Computed properties:
ΔE to the lowest computed polymorph   0 meV per atom
Energy   -5.984 eV per atom
Calculated volume   191.1 Å³/cell
Energy of formation   -0.676 eV per atom

Cell: 3.9726 4.2564 11.2998 Å, 90.00 90.00 90.00°
Space group Amm2 (No. 38)
Asymmetric unit:
Pr1 0.0000 0.0000 0.0000 (multiplicity 2)
Er1 0.5000 0.0000 0.2852 (multiplicity 2)
Ga1 0.5000 0.0000 0.5905 (multiplicity 2)
Ir1 0.0000 0.0000 0.7358 (multiplicity 2)